{
  "formula": "Rb2ErAg2Br6",
  "functional": "PBE-GGA",
  "state": "optimized geometry",
  "space_group": "C2/m (12)",
  "cell": [[-2.143, 0.972, -7.897], [-5.422, -0.194, 5.747], [4.835, 7.330, -0.410]],
  "species": ["Er", "Ag", "Ag", "Br", "Br", "Br", "Br", "Rb", "Rb", "Br", "Br"],
  "frac_coords": [[0.500, 0.000, 0.500], [0.949, 0.897, 0.821], [0.051, 0.103, 0.179], [0.204, 0.874, 0.234], [0.796, 0.126, 0.766], [0.330, 0.126, 0.766], [0.277, 0.555, 0.442], [0.714, 0.429, 0.163], [0.286, 0.571, 0.837], [0.670, 0.874, 0.234], [0.723, 0.445, 0.558]]
}

=====

{
  "formula": "Rb3ErAg2Br9",
  "functional": "PBE-GGA",
  "state": "optimized geometry",
  "space_group": "P-3m1 (164)",
  "cell": [[-2.250, -6.779, -3.249], [7.544, 2.147, -0.228], [1.559, -4.576, 8.470]],
  "species": ["Br", "Rb", "Br", "Rb", "Br", "Br", "Br", "Br", "Rb", "Br", "Br", "Ag", "Ag", "Br", "Er"],
  "frac_coords": [[0.500, 0.000, 0.000], [0.000, 0.000, 0.000], [0.834, 0.166, 0.664], [0.667, 0.333, 0.312], [0.000, 0.500, 0.000], [0.500, 0.500, 0.000], [0.166, 0.834, 0.336], [0.332, 0.166, 0.664], [0.333, 0.667, 0.688], [0.668, 0.834, 0.336], [0.834, 0.668, 0.664], [0.667, 0.333, 0.845], [0.333, 0.667, 0.155], [0.166, 0.332, 0.336], [0.000, 0.000, 0.500]]
}

=====

{
  "formula": "SrErAgBr6",
  "functional": "PBE-GGA",
  "state": "optimized geometry",
  "space_group": "P4_2nm (102)",
  "cell": [[-4.391, 1.576, 5.134], [4.378, -2.792, 4.601], [5.837, 11.543, 1.450]],
  "species": ["Ag", "Er", "Br", "Br", "Br", "Sr", "Br", "Er", "Br", "Br", "Br", "Br", "Br", "Ag", "Sr", "Br", "Br", "Br"],
  "frac_coords": [[0.000, 0.000, 0.997], [0.000, 0.000, 0.334], [0.698, 0.698, 0.987], [0.287, 0.287, 0.341], [0.313, 0.313, 0.672], [0.500, 0.500, 0.169], [0.198, 0.802, 0.487], [0.500, 0.500, 0.834], [0.713, 0.713, 0.341], [0.187, 0.813, 0.172], [0.302, 0.302, 0.987], [0.802, 0.198, 0.487], [0.787, 0.213, 0.841], [0.500, 0.500, 0.497], [0.000, 0.000, 0.669], [0.813, 0.187, 0.172], [0.213, 0.787, 0.841], [0.687, 0.687, 0.672]]
}

=====

{
  "formula": "ErTl2AgBr6",
  "functional": "PBE-GGA",
  "state": "optimized geometry",
  "space_group": "P2_1/c (14)",
  "cell": [[7.636, 0.000, 0.022], [0.000, 8.053, 0.000], [0.099, 0.000, 10.823]],
  "species": ["Ag", "Br", "Ag", "Tl", "Br", "Tl", "Br", "Er", "Br", "Br", "Tl", "Br", "Br", "Er", "Br", "Tl", "Br", "Br", "Br", "Br"],
  "frac_coords": [[0.500, 0.000, 0.000], [0.203, 0.190, 0.453], [0.000, 0.500, 0.500], [0.526, 0.578, 0.753], [0.813, 0.791, 0.953], [0.974, 0.078, 0.747], [0.687, 0.291, 0.547], [0.500, 0.000, 0.500], [0.797, 0.810, 0.547], [0.401, 0.981, 0.749], [0.474, 0.422, 0.247], [0.099, 0.481, 0.751], [0.599, 0.019, 0.251], [0.000, 0.500, 0.000], [0.703, 0.310, 0.953], [0.026, 0.922, 0.253], [0.901, 0.519, 0.249], [0.187, 0.209, 0.047], [0.297, 0.690, 0.047], [0.313, 0.709, 0.453]]
}

=====

{
  "formula": "Eu3Ag5Br12",
  "functional": "PBE-GGA",
  "state": "optimized geometry",
  "space_group": "Ia-3d (230)",
  "cell": [[14.809, 0.000, 0.000], [-4.936, 13.962, 0.000], [-4.936, -6.981, 12.091]],
  "species": ["Br", "Eu", "Br", "Br", "Br", "Br", "Ag", "Br", "Br", "Eu", "Eu", "Ag", "Br", "Br", "Br", "Br", "Ag", "Br", "Eu", "Br", "Br", "Br", "Eu", "Br", "Br", "Br", "Ag", "Br", "Br", "Br", "Ag", "Br", "Br", "Eu", "Ag", "Eu", "Br", "Ag", "Eu", "Ag", "Ag", "Ag", "Ag", "Br", "Ag", "Br", "Eu", "Br", "Br", "Br", "Ag", "Ag", "Br", "Br", "Br", "Br", "Br", "Ag", "Ag", "Eu", "Br", "Ag", "Eu", "Br", "Ag", "Br", "Br", "Br", "Br", "Br", "Br", "Ag", "Ag", "Br", "Br", "Eu", "Br", "Br", "Br", "Br"],
  "frac_coords": [[0.370, 0.414, 0.089], [0.125, 0.250, 0.875], [0.219, 0.544, 0.630], [0.630, 0.044, 0.219], [0.414, 0.044, 0.325], [0.675, 0.456, 0.586], [0.875, 0.625, 0.750], [0.130, 0.719, 0.544], [0.086, 0.175, 0.456], [0.750, 0.375, 0.125], [0.750, 0.875, 0.625], [0.500, 0.000, 0.000], [0.544, 0.219, 0.130], [0.914, 0.825, 0.544], [0.914, 0.089, 0.870], [0.719, 0.589, 0.175], [0.750, 0.125, 0.875], [0.825, 0.914, 0.044], [0.125, 0.875, 0.750], [0.414, 0.370, 0.589], [0.586, 0.630, 0.411], [0.544, 0.325, 0.914], [0.250, 0.625, 0.875], [0.089, 0.175, 0.219], [0.325, 0.781, 0.411], [0.411, 0.281, 0.325], [0.500, 0.500, 0.500], [0.411, 0.130, 0.586], [0.781, 0.456, 0.370], [0.956, 0.586, 0.175], [0.125, 0.750, 0.375], [0.870, 0.589, 0.914], [0.370, 0.956, 0.781], [0.625, 0.375, 0.750], [0.375, 0.250, 0.125], [0.625, 0.250, 0.375], [0.281, 0.870, 0.956], [0.000, 0.000, 0.000], [0.875, 0.750, 0.125], [0.750, 0.625, 0.375], [0.375, 0.125, 0.750], [0.250, 0.875, 0.125], [0.500, 0.500, 0.000], [0.130, 0.411, 0.086], [0.625, 0.750, 0.875], [0.781, 0.325, 0.911], [0.875, 0.125, 0.250], [0.325, 0.544, 0.414], [0.675, 0.219, 0.589], [0.456, 0.781, 0.870], [0.000, 0.000, 0.500], [0.875, 0.250, 0.625], [0.089, 0.914, 0.370], [0.281, 0.411, 0.825], [0.175, 0.086, 0.956], [0.719, 0.130, 0.044], [0.175, 0.089, 0.719], [0.125, 0.375, 0.250], [0.250, 0.375, 0.625], [0.375, 0.625, 0.250], [0.086, 0.911, 0.130], [0.500, 0.000, 0.500], [0.375, 0.750, 0.625], [0.219, 0.675, 0.089], [0.000, 0.500, 0.500], [0.456, 0.675, 0.086], [0.586, 0.956, 0.675], [0.044, 0.414, 0.825], [0.589, 0.870, 0.414], [0.630, 0.586, 0.911], [0.911, 0.825, 0.781], [0.000, 0.500, 0.000], [0.625, 0.875, 0.250], [0.589, 0.719, 0.675], [0.956, 0.370, 0.281], [0.250, 0.125, 0.375], [0.825, 0.911, 0.281], [0.911, 0.086, 0.630], [0.044, 0.630, 0.719], [0.870, 0.281, 0.456]]
}

=====

{
  "formula": "EuAg2Br4",
  "functional": "PBE-GGA",
  "state": "optimized geometry",
  "space_group": "I4/mmm (139)",
  "cell": [[-4.150, -4.200, 0.398], [1.198, -0.638, 5.760], [-3.173, 7.154, -1.588]],
  "species": ["Ag", "Br", "Br", "Ag", "Br", "Eu", "Br"],
  "frac_coords": [[0.601, 0.601, 0.202], [0.500, 0.000, 0.000], [0.789, 0.789, 0.578], [0.399, 0.399, 0.798], [0.000, 0.500, 0.000], [0.000, 0.000, 0.000], [0.211, 0.211, 0.422]]
}

=====

Calculated uncorrected formation energy (eV/atom), listed in the same order as above: -1.23 -1.29 -1.58 -1.16 -1.09 -0.88
Calculated N(E_F) (states/eV/cell), listed in the same order as above: 2.08 7.07 0.00 0.00 196.42 17.43